Run A
Compound: Ga2GePd4
Source: Alexandria
Functional: PBE-GGA
Structure: relaxed

Cell: 2.990 7.694 10.318 Å, 90.00 90.00 101.20°
Fractional coordinates of all 14 atoms:
Pd1 0.996 0.992 0.750
Pd2 0.500 0.000 0.000
Pd3 0.500 0.000 0.500
Pd4 0.004 0.008 0.250
Pd5 0.771 0.542 0.387
Pd6 0.229 0.458 0.887
Pd7 0.771 0.542 0.113
Pd8 0.229 0.458 0.613
Ga1 0.129 0.258 0.090
Ga2 0.871 0.742 0.590
Ga3 0.871 0.742 0.910
Ga4 0.129 0.258 0.410
Ge1 0.628 0.256 0.750
Ge2 0.372 0.744 0.250

## Properties
calculated volume	16.6	Å³ per atom


Run B
Compound: Ga2GePd4
Source: Alexandria
Functional: PBE-GGA
Structure: relaxed

Cell: 4.632 4.632 7.162 Å, 71.13 71.13 90.00°
Fractional coordinates of all 7 atoms:
Pd1 0.000 0.500 0.000
Pd2 0.192 0.192 0.616
Pd3 0.500 0.000 0.000
Pd4 0.808 0.808 0.384
Ga1 0.382 0.382 0.236
Ga2 0.618 0.618 0.764
Ge1 0.000 0.000 0.000

## Properties
calculated volume	19.5	Å³ per atom


It is run B that is the least stable of them.


Run A
Compound: GaGePd4
Source: Alexandria
Functional: PBE-GGA
Structure: relaxed

Cell: 3.700 6.763 14.857 Å, 90.00 90.00 90.00°
Fractional coordinates of all 24 atoms:
Pd1 0.250 0.000 0.072
Pd2 0.250 0.109 0.345
Pd3 0.250 0.500 0.428
Pd4 0.250 0.578 0.719
Pd5 0.750 0.000 0.928
Pd6 0.250 0.078 0.781
Pd7 0.750 0.348 0.065
Pd8 0.250 0.152 0.565
Pd9 0.250 0.652 0.935
Pd10 0.750 0.848 0.435
Pd11 0.750 0.891 0.655
Pd12 0.250 0.609 0.155
Pd13 0.750 0.500 0.572
Pd14 0.750 0.422 0.281
Pd15 0.750 0.922 0.219
Pd16 0.750 0.391 0.845
Ge1 0.250 0.245 0.190
Ge2 0.750 0.755 0.810
Ge3 0.750 0.255 0.690
Ge4 0.250 0.745 0.310
Ga1 0.750 0.237 0.445
Ga2 0.250 0.763 0.555
Ga3 0.250 0.263 0.945
Ga4 0.750 0.737 0.055

## Properties
calculated volume	15.5	Å³ per atom


Run B
Compound: GaGePd4
Source: Alexandria
Functional: PBE-GGA
Structure: relaxed

Cell: 5.121 7.451 5.145 Å, 90.00 71.14 90.00°
Fractional coordinates of all 12 atoms:
Pd1 0.621 0.167 0.883
Pd2 0.879 0.667 0.117
Pd3 0.890 0.836 0.618
Pd4 0.379 0.833 0.117
Pd5 0.121 0.333 0.883
Pd6 0.110 0.164 0.382
Pd7 0.610 0.336 0.382
Pd8 0.390 0.664 0.618
Ge1 0.000 0.000 0.000
Ge2 0.500 0.500 0.000
Ga1 0.000 0.500 0.500
Ga2 0.500 0.000 0.500

## Properties
calculated volume	15.5	Å³ per atom


It is run B that is the least stable of them.


Run A
Compound: Ga2Ge2Pd
Source: Alexandria
Functional: PBE-GGA
Structure: relaxed

Cell: 6.503 6.503 4.487 Å, 90.00 90.00 90.00°
Fractional coordinates of all 10 atoms:
Ge1 0.358 0.858 0.000
Ge2 0.142 0.358 0.000
Ge3 0.858 0.642 0.000
Ge4 0.642 0.142 0.000
Ga1 0.671 0.829 0.500
Ga2 0.829 0.329 0.500
Ga3 0.171 0.671 0.500
Ga4 0.329 0.171 0.500
Pd1 0.000 0.000 0.000
Pd2 0.500 0.500 0.000

## Properties
calculated volume	19.0	Å³ per atom


Run B
Compound: Ga2Ge2Pd
Source: Alexandria
Functional: PBE-GGA
Structure: relaxed

Cell: 6.705 6.705 4.068 Å, 90.00 90.00 90.00°
Fractional coordinates of all 10 atoms:
Pd1 0.000 0.000 0.000
Pd2 0.500 0.500 0.000
Ge1 0.339 0.161 0.500
Ge2 0.661 0.839 0.500
Ge3 0.839 0.339 0.500
Ge4 0.161 0.661 0.500
Ga1 0.857 0.643 0.000
Ga2 0.643 0.143 0.000
Ga3 0.143 0.357 0.000
Ga4 0.357 0.857 0.000

## Properties
calculated volume	18.3	Å³ per atom


It is run B that is the least stable of them.


Run A
Compound: GaGe3Pd
Source: Alexandria
Functional: PBE-GGA
Structure: relaxed

Cell: 4.888 4.888 4.888 Å, 90.00 90.00 90.00°
Fractional coordinates of all 5 atoms:
Ga1 0.500 0.500 0.500
Ge1 0.000 0.500 0.000
Ge2 0.500 0.000 0.000
Ge3 0.000 0.000 0.500
Pd1 0.000 0.000 0.000

## Properties
calculated volume	23.4	Å³ per atom


Run B
Compound: GaGe3Pd
Source: Alexandria
Functional: PBE-GGA
Structure: relaxed

Cell: 4.834 4.834 4.834 Å, 90.00 90.00 90.00°
Fractional coordinates of all 5 atoms:
Ge1 0.500 0.000 0.000
Ge2 0.000 0.500 0.000
Ge3 0.000 0.000 0.500
Ga1 0.000 0.000 0.000
Pd1 0.500 0.500 0.500

## Properties
calculated volume	22.6	Å³ per atom


It is run B that is the least stable of them.


Run A
Compound: Pm2Ga2Ge
Source: Alexandria
Functional: PBE-GGA
Structure: relaxed

Cell: 4.220 5.980 10.223 Å, 82.33 78.09 69.34°
Fractional coordinates of all 10 atoms:
Pm1 0.901 0.296 0.902
Pm2 0.099 0.704 0.098
Pm3 0.707 0.230 0.357
Pm4 0.293 0.770 0.643
Ga1 0.017 0.366 0.600
Ga2 0.367 0.152 0.115
Ga3 0.983 0.634 0.400
Ga4 0.633 0.848 0.885
Ge1 0.573 0.168 0.687
Ge2 0.427 0.832 0.313

## Properties
calculated volume	23.6	Å³ per atom


Run B
Compound: Pm2Ga2Ge
Source: Alexandria
Functional: PBE-GGA
Structure: relaxed

Cell: 4.152 4.019 7.339 Å, 105.89 90.00 90.00°
Fractional coordinates of all 5 atoms:
Pm1 0.000 0.681 0.362
Pm2 0.000 0.934 0.868
Ga1 0.500 0.311 0.622
Ga2 0.500 0.505 0.009
Ge1 0.500 0.112 0.223

## Properties
calculated volume	23.6	Å³ per atom


It is run B that is the least stable of them.


Run A
Compound: Pm3Ga3Ge2
Source: Alexandria
Functional: PBE-GGA
Structure: relaxed

Cell: 4.145 6.018 15.809 Å, 90.00 90.00 110.15°
Fractional coordinates of all 16 atoms:
Pm1 0.856 0.712 0.091
Pm2 0.144 0.288 0.591
Pm3 0.430 0.860 0.750
Pm4 0.570 0.140 0.250
Pm5 0.856 0.712 0.409
Pm6 0.144 0.288 0.909
Ga1 0.693 0.386 0.750
Ga2 0.433 0.867 0.559
Ga3 0.567 0.133 0.059
Ga4 0.567 0.133 0.441
Ga5 0.307 0.614 0.250
Ga6 0.433 0.867 0.941
Ge1 0.845 0.691 0.880
Ge2 0.155 0.309 0.380
Ge3 0.155 0.309 0.120
Ge4 0.845 0.691 0.620

## Properties
calculated volume	23.1	Å³ per atom


Run B
Compound: Pm3Ga3Ge2
Source: Alexandria
Functional: PBE-GGA
Structure: relaxed

Cell: 4.249 6.006 15.171 Å, 90.00 90.00 110.72°
Fractional coordinates of all 16 atoms:
Pm1 0.945 0.891 0.111
Pm2 0.945 0.891 0.389
Pm3 0.055 0.109 0.889
Pm4 0.055 0.109 0.611
Pm5 0.664 0.327 0.250
Pm6 0.336 0.673 0.750
Ga1 0.392 0.785 0.250
Ga2 0.634 0.269 0.037
Ga3 0.366 0.731 0.963
Ga4 0.634 0.269 0.463
Ga5 0.366 0.731 0.537
Ga6 0.608 0.215 0.750
Ge1 0.235 0.469 0.114
Ge2 0.765 0.531 0.614
Ge3 0.765 0.531 0.886
Ge4 0.235 0.469 0.386

## Properties
calculated volume	22.6	Å³ per atom


It is run B that is the least stable of them.


Run A
Compound: Pm6Ga2Ge
Source: Alexandria
Functional: PBE-GGA
Structure: relaxed

Cell: 4.362 8.149 8.149 Å, 120.00 90.00 90.00°
Fractional coordinates of all 9 atoms:
Pm1 0.000 0.269 0.000
Pm2 0.500 0.000 0.599
Pm3 0.500 0.599 0.000
Pm4 0.000 0.731 0.731
Pm5 0.500 0.401 0.401
Pm6 0.000 0.000 0.269
Ge1 0.500 0.000 0.000
Ga1 0.000 0.667 0.333
Ga2 0.000 0.333 0.667

## Properties
calculated volume	27.9	Å³ per atom


Run B
Compound: Pm6Ga2Ge
Source: Alexandria
Functional: PBE-GGA
Structure: relaxed

Cell: 8.747 8.747 8.747 Å, 106.53 110.90 111.03°
Fractional coordinates of all 18 atoms:
Ga1 0.357 0.000 0.357
Ga2 0.500 0.622 0.122
Ga3 0.643 0.000 0.643
Ga4 0.500 0.378 0.878
Pm1 0.198 0.746 0.945
Pm2 0.089 0.264 0.825
Pm3 0.198 0.254 0.452
Pm4 0.911 0.736 0.175
Pm5 0.802 0.254 0.055
Pm6 0.709 0.038 0.329
Pm7 0.561 0.736 0.825
Pm8 0.291 0.962 0.671
Pm9 0.709 0.380 0.671
Pm10 0.802 0.746 0.548
Pm11 0.439 0.264 0.175
Pm12 0.291 0.620 0.329
Ge1 0.000 0.500 0.500
Ge2 0.000 0.000 0.000

## Properties
calculated volume	28.6	Å³ per atom


It is run B that is the least stable of them.


Run A
Compound: Pm3GaGe2
Source: Alexandria
Functional: PBE-GGA
Structure: relaxed

Cell: 4.264 11.946 11.941 Å, 90.00 90.00 90.00°
Fractional coordinates of all 24 atoms:
Ge1 0.250 0.686 0.482
Ge2 0.750 0.314 0.518
Ge3 0.750 0.997 0.687
Ge4 0.250 0.003 0.313
Ge5 0.250 0.497 0.813
Ge6 0.750 0.186 0.018
Ge7 0.250 0.814 0.982
Ge8 0.750 0.503 0.187
Pm1 0.250 0.801 0.702
Pm2 0.750 0.620 0.943
Pm3 0.250 0.699 0.202
Pm4 0.750 0.940 0.124
Pm5 0.750 0.560 0.624
Pm6 0.250 0.060 0.876
Pm7 0.750 0.880 0.443
Pm8 0.250 0.380 0.057
Pm9 0.250 0.440 0.376
Pm10 0.250 0.120 0.557
Pm11 0.750 0.199 0.298
Pm12 0.750 0.301 0.798
Ga1 0.750 0.634 0.365
Ga2 0.250 0.134 0.135
Ga3 0.250 0.366 0.635
Ga4 0.750 0.866 0.865

## Properties
calculated volume	25.3	Å³ per atom


Run B
Compound: Pm3GaGe2
Source: Alexandria
Functional: PBE-GGA
Structure: relaxed

Cell: 6.173 6.560 8.292 Å, 105.11 111.85 90.00°
Fractional coordinates of all 12 atoms:
Pm1 0.332 0.750 0.000
Pm2 0.067 0.630 0.359
Pm3 0.933 0.370 0.641
Pm4 0.293 0.130 0.359
Pm5 0.707 0.870 0.641
Pm6 0.668 0.250 0.000
Ge1 0.541 0.524 0.298
Ge2 0.757 0.024 0.298
Ge3 0.459 0.476 0.702
Ge4 0.243 0.976 0.702
Ga1 0.163 0.250 0.000
Ga2 0.837 0.750 0.000

## Properties
calculated volume	24.9	Å³ per atom


It is run B that is the least stable of them.


Run A
Compound: PmYGaGe
Source: Alexandria
Functional: PBE-GGA
Structure: relaxed

Cell: 4.389 4.051 5.915 Å, 90.00 111.78 90.00°
Fractional coordinates of all 4 atoms:
Ge1 0.421 0.000 0.843
Y1 0.861 0.500 0.722
Ga1 0.576 0.500 0.153
Pm1 0.141 0.000 0.282

## Properties
calculated volume	24.4	Å³ per atom


Run B
Compound: PmYGaGe
Source: Alexandria
Functional: PBE-GGA
Structure: relaxed

Cell: 5.130 5.130 5.130 Å, 60.00 60.00 60.00°
Fractional coordinates of all 4 atoms:
Ge1 0.250 0.250 0.250
Y1 0.000 0.000 0.000
Pm1 0.500 0.500 0.500
Ga1 0.750 0.750 0.750

## Properties
calculated volume	23.9	Å³ per atom


It is run B that is the least stable of them.


Run A
Compound: PrGaGe2
Source: Alexandria
Functional: PBE-GGA
Structure: relaxed

Cell: 3.687 3.687 6.401 Å, 90.00 90.00 90.00°
Fractional coordinates of all 4 atoms:
Ge1 0.000 0.000 0.198
Ge2 0.000 0.000 0.802
Ga1 0.500 0.500 0.000
Pr1 0.500 0.500 0.500

## Properties
calculated volume	21.8	Å³ per atom


Run B
Compound: PrGaGe2
Source: Alexandria
Functional: PBE-GGA
Structure: relaxed

Cell: 4.538 4.538 5.705 Å, 66.56 66.56 60.00°
Fractional coordinates of all 4 atoms:
Pr1 0.500 0.500 0.500
Ge1 0.287 0.287 0.140
Ge2 0.713 0.713 0.860
Ga1 0.000 0.000 0.000

## Properties
calculated volume	22.6	Å³ per atom


It is run A that is the least stable of them.


Run A
Compound: PrGaGe2
Source: Alexandria
Functional: PBE-GGA
Structure: relaxed

Cell: 4.467 4.400 4.400 Å, 90.00 90.00 90.00°
Fractional coordinates of all 4 atoms:
Ge1 0.000 0.000 0.500
Ge2 0.000 0.500 0.000
Ga1 0.500 0.000 0.000
Pr1 0.500 0.500 0.500

## Properties
calculated volume	21.6	Å³ per atom


Run B
Compound: PrGaGe2
Source: Alexandria
Functional: PBE-GGA
Structure: relaxed

Cell: 3.917 4.749 10.200 Å, 90.00 90.00 90.00°
Fractional coordinates of all 8 atoms:
Ga1 0.000 0.000 0.651
Ga2 0.500 0.500 0.349
Ge1 0.000 0.500 0.162
Ge2 0.500 0.000 0.838
Ge3 0.000 0.500 0.536
Ge4 0.500 0.000 0.464
Pr1 0.000 0.500 0.860
Pr2 0.500 0.000 0.140

## Properties
calculated volume	23.7	Å³ per atom


It is run B that is the least stable of them.